Computed, not measured: a geometry-optimized Cr3OsSe structure at the GGA-PBE level of DFT.

Summary:
uncorrected formation energy	1337.9	meV per atom
DOS at the Fermi energy	8.72	states/eV/f.u.
size of the total moment	0.00	μB/f.u.
ρ	9.1	Mg/m³
energy	-7.3789	eV per atom
energy relative to the lowest polymorph listed for this composition	0.165	eV per atom

The structure in CIF format:
```
data_Cr3OsSe
_symmetry_space_group_name_H-M 'P m -3 m'
_symmetry_Int_Tables_number 221
_symmetry_space_group_name_Hall '-P 4 2 3'
_cell_length_a 4.260
_cell_length_b 4.260
_cell_length_c 4.260
_cell_angle_alpha 90.00
_cell_angle_beta 90.00
_cell_angle_gamma 90.00
loop_
_atom_site_label
_atom_site_type_symbol
_atom_site_fract_x
_atom_site_fract_y
_atom_site_fract_z
Cr1 Cr 0.000 0.000 0.500
Os1 Os 0.500 0.500 0.500
Se1 Se 0.000 0.000 0.000
```